# Mo3S4 (PBE, relaxed)
# E	-7.64	eV per atom
# offset from the most stable computed form	46	meV per atom
# crystal system	triclinic
# E_form (uncorrected)	-0.64	eV per atom
# DOS(E_F)	3.6	states/eV/f.u.
data_Mo3S4
_chemical_formula_sum 'Mo6 S8'
_symmetry_space_group_name_H-M 'P -1'
_symmetry_Int_Tables_number 2
_symmetry_space_group_name_Hall '-P 1'
_cell_length_a 6.377
_cell_length_b 6.650
_cell_length_c 6.868
_cell_angle_alpha 104.17
_cell_angle_beta 117.41
_cell_angle_gamma 103.94
loop_
_atom_site_label
_atom_site_type_symbol
_atom_site_fract_x
_atom_site_fract_y
_atom_site_fract_z
Mo1 Mo 0.022 0.014 0.308
Mo2 Mo 0.287 0.502 0.004
Mo3 Mo 0.450 0.982 0.679
S1 S 0.014 0.705 0.434
S2 S 0.054 0.767 0.973
S3 S 0.444 0.212 0.031
S4 S 0.467 0.285 0.551